Record 1
# VIrOs (PBE, relaxed)
# formation enthalpy at 0 K	-0.179	eV/atom
# magnetic moment	0.00	μB per cell
# space group	I4mm (107)
# calculated total energy	-9.92	eV per atom
data_VIrOs
_chemical_formula_sum 'V1 Ir1 Os1'
_cell_length_a 2.706
_cell_length_b 2.706
_cell_length_c 6.104
_cell_angle_alpha 102.81
_cell_angle_beta 102.81
_cell_angle_gamma 90.00
_symmetry_space_group_name_H-M 'P 1'
_symmetry_Int_Tables_number 1
loop_
_symmetry_equiv_pos_as_xyz
'x,y,z'
loop_
_atom_site_label
_atom_site_fract_x
_atom_site_fract_y
_atom_site_fract_z
Os1 0.332 0.332 0.665
V1 0.667 0.667 0.333
Ir1 0.001 0.001 0.002



Record 2
# Ca2SmHg (PBE, relaxed)
# formation enthalpy at 0 K	0.010	eV/atom
# magnetic moment	0.00	μB per cell
# space group	R-3m (166)
# calculated total energy	-2.25	eV per atom
data_Ca2SmHg
_chemical_formula_sum 'Ca2 Sm1 Hg1'
_cell_length_a 3.665
_cell_length_b 3.665
_cell_length_c 12.038
_cell_angle_alpha 81.24
_cell_angle_beta 81.24
_cell_angle_gamma 60.00
_symmetry_space_group_name_H-M 'P 1'
_symmetry_Int_Tables_number 1
loop_
_symmetry_equiv_pos_as_xyz
'x,y,z'
loop_
_atom_site_label
_atom_site_fract_x
_atom_site_fract_y
_atom_site_fract_z
Ca1 0.900 0.900 0.299
Ca2 0.100 0.100 0.701
Hg1 0.500 0.500 0.500
Sm1 0.000 0.000 0.000



Record 3
# Ba3LiGe2 (PBE, relaxed)
# formation enthalpy at 0 K	-0.340	eV/atom
# magnetic moment	1.49	μB per cell
# space group	P2_1/c (14)
# calculated total energy	-3.16	eV per atom
data_Ba3LiGe2
_chemical_formula_sum 'Ba12 Li4 Ge8'
_cell_length_a 8.085
_cell_length_b 11.590
_cell_length_c 10.945
_cell_angle_alpha 90.00
_cell_angle_beta 113.74
_cell_angle_gamma 90.00
_symmetry_space_group_name_H-M 'P 1'
_symmetry_Int_Tables_number 1
loop_
_symmetry_equiv_pos_as_xyz
'x,y,z'
loop_
_atom_site_label
_atom_site_fract_x
_atom_site_fract_y
_atom_site_fract_z
Ba1 0.385 0.774 0.683
Ge1 0.729 0.960 0.278
Ba2 0.115 0.274 0.817
Ge2 0.176 0.191 0.124
Ge3 0.324 0.691 0.376
Ba3 0.176 0.021 0.382
Ge4 0.271 0.040 0.722
Li1 0.969 0.322 0.170
Ge5 0.824 0.809 0.876
Ba4 0.824 0.979 0.618
Ba5 0.676 0.479 0.882
Ba6 0.229 0.432 0.481
Ba7 0.729 0.068 0.981
Li2 0.031 0.678 0.830
Ba8 0.885 0.726 0.183
Li3 0.469 0.178 0.670
Ge6 0.676 0.309 0.624
Ba9 0.771 0.568 0.519
Ba10 0.324 0.521 0.118
Ge7 0.229 0.540 0.778
Ba11 0.271 0.932 0.019
Ba12 0.615 0.226 0.317
Ge8 0.771 0.460 0.222
Li4 0.531 0.822 0.330



Record 4
# CaErTm2S4 (PBE, relaxed)
# magnetic moment	0.00	μB per cell
# E_form (uncorrected)	-1.980	eV/atom
# space group	P2/m (10)
# calculated total energy	-5.98	eV per atom
data_CaErTm2S4
_chemical_formula_sum 'Ca1 Er1 Tm2 S4'
_cell_length_a 3.870
_cell_length_b 6.733
_cell_length_c 6.730
_cell_angle_alpha 109.18
_cell_angle_beta 90.00
_cell_angle_gamma 90.00
_symmetry_space_group_name_H-M 'P 1'
_symmetry_Int_Tables_number 1
loop_
_symmetry_equiv_pos_as_xyz
'x,y,z'
loop_
_atom_site_label
_atom_site_fract_x
_atom_site_fract_y
_atom_site_fract_z
S1 0.500 0.745 0.744
Er1 0.500 0.500 0.000
S2 0.000 0.251 0.746
S3 0.000 0.749 0.254
Tm1 0.000 0.500 0.500
Ca1 0.000 0.000 0.000
Tm2 0.500 0.000 0.500
S4 0.500 0.255 0.256



Record 5
# Mn4Re (PBE, relaxed)
# formation enthalpy at 0 K	0.093	eV/atom
# magnetic moment	0.01	μB per cell
# space group	I4/m (87)
# calculated total energy	-9.73	eV per atom
data_Mn4Re
_chemical_formula_sum 'Mn4 Re1'
_cell_length_a 4.415
_cell_length_b 4.415
_cell_length_c 4.415
_cell_angle_alpha 99.60
_cell_angle_beta 99.60
_cell_angle_gamma 131.81
_symmetry_space_group_name_H-M 'P 1'
_symmetry_Int_Tables_number 1
loop_
_symmetry_equiv_pos_as_xyz
'x,y,z'
loop_
_atom_site_label
_atom_site_fract_x
_atom_site_fract_y
_atom_site_fract_z
Mn1 0.406 0.809 0.215
Mn2 0.809 0.594 0.402
Mn3 0.191 0.406 0.598
Mn4 0.594 0.191 0.785
Re1 0.000 0.000 0.000



Record 6
# Na2PrSnTe4 (PBE, relaxed)
# magnetic moment	0.00	μB per cell
# E_form (uncorrected)	-0.886	eV/atom
# space group	P2/m (10)
# calculated total energy	-3.88	eV per atom
data_Na2PrSnTe4
_chemical_formula_sum 'Na2 Pr1 Sn1 Te4'
_cell_length_a 4.458
_cell_length_b 7.881
_cell_length_c 8.000
_cell_angle_alpha 108.76
_cell_angle_beta 90.00
_cell_angle_gamma 90.00
_symmetry_space_group_name_H-M 'P 1'
_symmetry_Int_Tables_number 1
loop_
_symmetry_equiv_pos_as_xyz
'x,y,z'
loop_
_atom_site_label
_atom_site_fract_x
_atom_site_fract_y
_atom_site_fract_z
Sn1 0.000 0.000 0.000
Te1 0.000 0.245 0.762
Te2 0.500 0.763 0.766
Pr1 0.500 0.500 0.000
Te3 0.500 0.237 0.234
Na1 0.500 0.000 0.500
Na2 0.000 0.500 0.500
Te4 0.000 0.755 0.238



Record 7
# SrAlCdAu2 (PBE, relaxed)
# formation enthalpy at 0 K	-0.519	eV/atom
# magnetic moment	0.00	μB per cell
# space group	I-4m2 (119)
# calculated total energy	-3.10	eV per atom
data_SrAlCdAu2
_chemical_formula_sum 'Sr1 Al1 Cd1 Au2'
_cell_length_a 4.380
_cell_length_b 4.380
_cell_length_c 6.904
_cell_angle_alpha 108.49
_cell_angle_beta 108.49
_cell_angle_gamma 90.00
_symmetry_space_group_name_H-M 'P 1'
_symmetry_Int_Tables_number 1
loop_
_symmetry_equiv_pos_as_xyz
'x,y,z'
loop_
_atom_site_label
_atom_site_fract_x
_atom_site_fract_y
_atom_site_fract_z
Al1 0.750 0.250 0.500
Cd1 0.250 0.750 0.500
Sr1 0.000 0.000 0.000
Au1 0.386 0.386 0.773
Au2 0.614 0.614 0.227



Record 8
# MnFeHIrPd (PBE, relaxed)
# magnetic moment	4.32	μB per cell
# space group	Pmm2 (25)
# calculated total energy	-6.92	eV per atom
data_MnFeHIrPd
_chemical_formula_sum 'Mn1 Fe1 H1 Ir1 Pd1'
_cell_length_a 2.722
_cell_length_b 3.669
_cell_length_c 5.663
_cell_angle_alpha 90.00
_cell_angle_beta 90.00
_cell_angle_gamma 90.00
_symmetry_space_group_name_H-M 'P 1'
_symmetry_Int_Tables_number 1
loop_
_symmetry_equiv_pos_as_xyz
'x,y,z'
loop_
_atom_site_label
_atom_site_fract_x
_atom_site_fract_y
_atom_site_fract_z
Pd1 0.000 0.500 0.293
Fe1 0.500 0.000 0.028
H1 0.000 0.000 0.246
Mn1 0.000 0.500 0.790
Ir1 0.500 0.000 0.594



Record 9
# Ti7MnPd4 (PBE, relaxed)
# formation enthalpy at 0 K	-0.322	eV/atom
# magnetic moment	0.00	μB per cell
# space group	P-3m1 (164)
# calculated total energy	-7.42	eV per atom
data_Ti7MnPd4
_chemical_formula_sum 'Ti7 Mn1 Pd4'
_cell_length_a 4.382
_cell_length_b 4.382
_cell_length_c 11.337
_cell_angle_alpha 90.00
_cell_angle_beta 90.00
_cell_angle_gamma 120.00
_symmetry_space_group_name_H-M 'P 1'
_symmetry_Int_Tables_number 1
loop_
_symmetry_equiv_pos_as_xyz
'x,y,z'
loop_
_atom_site_label
_atom_site_fract_x
_atom_site_fract_y
_atom_site_fract_z
Pd1 0.667 0.333 0.100
Ti1 0.333 0.667 0.155
Pd2 0.333 0.667 0.900
Mn1 0.000 0.000 0.500
Pd3 0.333 0.667 0.659
Ti2 0.667 0.333 0.845
Ti3 0.000 0.000 0.729
Ti4 0.000 0.000 0.271
Ti5 0.333 0.667 0.428
Ti6 0.667 0.333 0.572
Pd4 0.667 0.333 0.341
Ti7 0.000 0.000 0.000



Record 10
# CuIr2Os (PBE, relaxed)
# formation enthalpy at 0 K	0.203	eV/atom
# magnetic moment	0.00	μB per cell
# space group	I-4m2 (119)
# calculated total energy	-8.06	eV per atom
data_CuIr2Os
_chemical_formula_sum 'Cu1 Ir2 Os1'
_cell_length_a 4.734
_cell_length_b 4.734
_cell_length_c 4.734
_cell_angle_alpha 132.91
_cell_angle_beta 132.91
_cell_angle_gamma 68.79
_symmetry_space_group_name_H-M 'P 1'
_symmetry_Int_Tables_number 1
loop_
_symmetry_equiv_pos_as_xyz
'x,y,z'
loop_
_atom_site_label
_atom_site_fract_x
_atom_site_fract_y
_atom_site_fract_z
Cu1 0.750 0.250 0.500
Ir1 0.000 0.000 0.000
Os1 0.500 0.500 0.000
Ir2 0.250 0.750 0.500



Record 11
# Dy3Tm2Sc3 (PBE, relaxed)
# formation enthalpy at 0 K	0.027	eV/atom
# magnetic moment	0.00	μB per cell
# space group	C2/m (12)
# calculated total energy	-5.19	eV per atom
data_Dy3Tm2Sc3
_chemical_formula_sum 'Dy3 Tm2 Sc3'
_cell_length_a 3.456
_cell_length_b 5.927
_cell_length_c 11.574
_cell_angle_alpha 75.53
_cell_angle_beta 81.41
_cell_angle_gamma 90.00
_symmetry_space_group_name_H-M 'P 1'
_symmetry_Int_Tables_number 1
loop_
_symmetry_equiv_pos_as_xyz
'x,y,z'
loop_
_atom_site_label
_atom_site_fract_x
_atom_site_fract_y
_atom_site_fract_z
Dy1 0.623 0.964 0.753
Dy2 0.500 0.500 0.000
Tm1 0.253 0.256 0.495
Dy3 0.377 0.036 0.247
Tm2 0.747 0.744 0.505
Sc1 0.124 0.459 0.752
Sc2 0.876 0.541 0.248
Sc3 0.000 0.000 0.000



Record 12
# PuZr7Sc12 (PBE, relaxed)
# formation enthalpy at 0 K	-0.002	eV/atom
# magnetic moment	5.65	μB per cell
# space group	P1 (1)
# calculated total energy	-7.51	eV per atom
data_PuZr7Sc12
_chemical_formula_sum 'Pu1 Zr7 Sc12'
_cell_length_a 6.114
_cell_length_b 5.643
_cell_length_c 16.446
_cell_angle_alpha 89.97
_cell_angle_beta 105.71
_cell_angle_gamma 117.66
_symmetry_space_group_name_H-M 'P 1'
_symmetry_Int_Tables_number 1
loop_
_symmetry_equiv_pos_as_xyz
'x,y,z'
loop_
_atom_site_label
_atom_site_fract_x
_atom_site_fract_y
_atom_site_fract_z
Sc1 0.551 0.649 0.671
Sc2 0.539 0.631 0.876
Zr1 0.554 0.640 0.071
Sc3 0.044 0.051 0.828
Zr2 0.044 0.562 0.929
Zr3 0.554 0.142 0.572
Pu1 0.058 0.066 0.023
Sc4 0.045 0.548 0.724
Zr4 0.552 0.129 0.975
Zr5 0.052 0.568 0.524
Sc5 0.552 0.152 0.775
Sc6 0.557 0.149 0.173
Sc7 0.054 0.062 0.623
Sc8 0.545 0.141 0.378
Sc9 0.554 0.655 0.276
Zr6 0.548 0.634 0.476
Sc10 0.048 0.553 0.329
Sc11 0.057 0.561 0.123
Zr7 0.045 0.061 0.429
Sc12 0.048 0.048 0.225



Record 13
# TaTlAg2O (PBE, relaxed)
# magnetic moment	0.00	μB per cell
# E_form (uncorrected)	-0.026	eV/atom
# space group	P4/mmm (123)
# calculated total energy	-5.00	eV per atom
data_TaTlAg2O
_chemical_formula_sum 'Ta1 Tl1 Ag2 O1'
_cell_length_a 4.962
_cell_length_b 3.900
_cell_length_c 4.962
_cell_angle_alpha 90.00
_cell_angle_beta 90.00
_cell_angle_gamma 90.00
_symmetry_space_group_name_H-M 'P 1'
_symmetry_Int_Tables_number 1
loop_
_symmetry_equiv_pos_as_xyz
'x,y,z'
loop_
_atom_site_label
_atom_site_fract_x
_atom_site_fract_y
_atom_site_fract_z
Ag1 0.500 0.000 0.000
O1 0.000 0.000 0.000
Ta1 0.000 0.500 0.000
Tl1 0.500 0.500 0.500
Ag2 0.000 0.000 0.500



Record 14
# PmTiOs2 (PBE, relaxed)
# formation enthalpy at 0 K	-0.157	eV/atom
# magnetic moment	0.00	μB per cell
# space group	P4/mmm (123)
# calculated total energy	-8.93	eV per atom
data_PmTiOs2
_chemical_formula_sum 'Pm1 Ti1 Os2'
_cell_length_a 3.208
_cell_length_b 3.208
_cell_length_c 6.960
_cell_angle_alpha 90.00
_cell_angle_beta 90.00
_cell_angle_gamma 90.00
_symmetry_space_group_name_H-M 'P 1'
_symmetry_Int_Tables_number 1
loop_
_symmetry_equiv_pos_as_xyz
'x,y,z'
loop_
_atom_site_label
_atom_site_fract_x
_atom_site_fract_y
_atom_site_fract_z
Os1 0.000 0.000 0.792
Pm1 0.500 0.500 0.500
Ti1 0.500 0.500 0.000
Os2 0.000 0.000 0.208



Record 15
# CaZrAs (PBE, relaxed)
# formation enthalpy at 0 K	-0.785	eV/atom
# magnetic moment	0.00	μB per cell
# space group	Cmcm (63)
# calculated total energy	-5.85	eV per atom
data_CaZrAs
_chemical_formula_sum 'Ca4 Zr4 As4'
_cell_length_a 3.851
_cell_length_b 12.732
_cell_length_c 5.930
_cell_angle_alpha 90.00
_cell_angle_beta 90.00
_cell_angle_gamma 90.00
_symmetry_space_group_name_H-M 'P 1'
_symmetry_Int_Tables_number 1
loop_
_symmetry_equiv_pos_as_xyz
'x,y,z'
loop_
_atom_site_label
_atom_site_fract_x
_atom_site_fract_y
_atom_site_fract_z
Ca1 0.000 0.294 0.250
As1 0.000 0.386 0.750
Ca2 0.500 0.206 0.750
Zr1 0.500 0.500 0.500
As2 0.500 0.114 0.250
Zr2 0.000 0.000 0.000
As3 0.500 0.886 0.750
Ca3 0.000 0.706 0.750
Zr3 0.000 0.000 0.500
Ca4 0.500 0.794 0.250
Zr4 0.500 0.500 0.000
As4 0.000 0.614 0.250



Record 16
# U2PdPt6 (PBE, relaxed)
# formation enthalpy at 0 K	-0.545	eV/atom
# magnetic moment	2.91	μB per cell
# space group	C2/m (12)
# calculated total energy	-7.66	eV per atom
data_U2PdPt6
_chemical_formula_sum 'U2 Pd1 Pt6'
_cell_length_a 6.569
_cell_length_b 5.438
_cell_length_c 5.438
_cell_angle_alpha 62.96
_cell_angle_beta 102.76
_cell_angle_gamma 102.76
_symmetry_space_group_name_H-M 'P 1'
_symmetry_Int_Tables_number 1
loop_
_symmetry_equiv_pos_as_xyz
'x,y,z'
loop_
_atom_site_label
_atom_site_fract_x
_atom_site_fract_y
_atom_site_fract_z
Pt1 0.248 0.815 0.815
Pt2 0.752 0.185 0.185
Pt3 0.634 0.153 0.649
U1 0.185 0.332 0.332
Pt4 0.366 0.847 0.351
Pt5 0.634 0.649 0.153
U2 0.815 0.668 0.668
Pt6 0.366 0.351 0.847
Pd1 0.000 0.000 0.000



Record 17
# MgCr2W (PBE, relaxed)
# formation enthalpy at 0 K	0.579	eV/atom
# magnetic moment	1.98	μB per cell
# space group	I-4m2 (119)
# calculated total energy	-7.87	eV per atom
data_MgCr2W
_chemical_formula_sum 'Mg1 Cr2 W1'
_cell_length_a 5.074
_cell_length_b 5.074
_cell_length_c 5.074
_cell_angle_alpha 137.64
_cell_angle_beta 137.64
_cell_angle_gamma 61.45
_symmetry_space_group_name_H-M 'P 1'
_symmetry_Int_Tables_number 1
loop_
_symmetry_equiv_pos_as_xyz
'x,y,z'
loop_
_atom_site_label
_atom_site_fract_x
_atom_site_fract_y
_atom_site_fract_z
Cr1 0.250 0.750 0.500
Mg1 0.500 0.500 0.000
W1 0.750 0.250 0.500
Cr2 0.000 0.000 0.000



Record 18
# DyUSn2 (PBE, relaxed)
# formation enthalpy at 0 K	-0.277	eV/atom
# magnetic moment	2.85	μB per cell
# space group	P4/mmm (123)
# calculated total energy	-6.25	eV per atom
data_DyUSn2
_chemical_formula_sum 'Dy1 U1 Sn2'
_cell_length_a 3.364
_cell_length_b 3.364
_cell_length_c 9.095
_cell_angle_alpha 90.00
_cell_angle_beta 90.00
_cell_angle_gamma 90.00
_symmetry_space_group_name_H-M 'P 1'
_symmetry_Int_Tables_number 1
loop_
_symmetry_equiv_pos_as_xyz
'x,y,z'
loop_
_atom_site_label
_atom_site_fract_x
_atom_site_fract_y
_atom_site_fract_z
U1 0.500 0.500 0.000
Dy1 0.500 0.500 0.500
Sn1 0.000 0.000 0.252
Sn2 0.000 0.000 0.748



Record 19
# VTc4 (PBE, relaxed)
# formation enthalpy at 0 K	1.315	eV/atom
# magnetic moment	1.58	μB per cell
# space group	Pm-3m (221)
# calculated total energy	-8.80	eV per atom
data_VTc4
_chemical_formula_sum 'V1 Tc4'
_cell_length_a 4.399
_cell_length_b 4.399
_cell_length_c 4.399
_cell_angle_alpha 90.00
_cell_angle_beta 90.00
_cell_angle_gamma 90.00
_symmetry_space_group_name_H-M 'P 1'
_symmetry_Int_Tables_number 1
loop_
_symmetry_equiv_pos_as_xyz
'x,y,z'
loop_
_atom_site_label
_atom_site_fract_x
_atom_site_fract_y
_atom_site_fract_z
Tc1 0.500 0.500 0.000
Tc2 0.000 0.000 0.000
Tc3 0.000 0.500 0.500
Tc4 0.500 0.000 0.500
V1 0.500 0.500 0.500